# 1
# P2WN

A relaxed structure of P2WN (PBE, Alexandria).

Results
- Uncorrected formation energy: 5.2 eV per formula unit
- Energy above the lowest structure with this stoichiometry: 3.062 eV/f.u.
- Calculated volume: 51.15 Å³/cell
- M_tot: 0.00 μB per formula unit

Lattice parameters (Å, degrees): 4.167 4.167 4.167 60.00 60.00 60.00
Fractional positions:
P (0.250, 0.250, 0.250)
P (0.750, 0.750, 0.750)
W (0.000, 0.000, 0.000)
N (0.500, 0.500, 0.500)



# 2
# PWN

A relaxed structure of PWN (PBE, Alexandria).

Results
- Uncorrected formation energy: -0.1 eV per formula unit
- Calculated volume: 178.03 Å³/cell
- M_tot: 0.00 μB per formula unit

Lattice parameters (Å, degrees): 10.711 3.116 5.334 90.00 90.00 90.00
Fractional positions:
P (0.075, 0.250, 0.015)
P (0.425, 0.750, 0.515)
P (0.575, 0.250, 0.485)
P (0.925, 0.750, 0.985)
W (0.248, 0.250, 0.709)
W (0.252, 0.750, 0.209)
W (0.748, 0.250, 0.791)
W (0.752, 0.750, 0.291)
N (0.165, 0.750, 0.536)
N (0.335, 0.250, 0.036)
N (0.665, 0.750, 0.964)
N (0.835, 0.250, 0.464)



# 3
# PW3N

A relaxed structure of PW3N (PBE, Alexandria).

Results
- Uncorrected formation energy: 2.0 eV per formula unit
- Energy above the lowest structure with this stoichiometry: 0.000 eV/f.u.
- Calculated volume: 69.12 Å³/cell
- M_tot: 0.00 μB per formula unit

Lattice parameters (Å, degrees): 4.104 4.104 4.104 90.00 90.00 90.00
Fractional positions:
P (0.000, 0.000, 0.000)
W (0.000, 0.500, 0.500)
W (0.500, 0.000, 0.500)
W (0.500, 0.500, 0.000)
N (0.500, 0.500, 0.500)



# 4
# P2WN

A relaxed structure of P2WN (PBE, Alexandria).

Results
- Uncorrected formation energy: 2.1 eV per formula unit
- Energy above the lowest structure with this stoichiometry: 0.000 eV/f.u.
- Calculated volume: 108.65 Å³/cell
- M_tot: 0.00 μB per formula unit

Lattice parameters (Å, degrees): 5.407 5.407 5.407 121.76 121.76 86.97
Fractional positions:
P (0.055, 0.625, 0.930)
P (0.375, 0.305, 0.430)
P (0.695, 0.125, 0.070)
P (0.875, 0.945, 0.570)
W (0.250, 0.750, 0.500)
W (0.500, 0.500, 0.000)
N (0.000, 0.000, 0.000)
N (0.750, 0.250, 0.500)